Record 1
## ReSe (PBE)

Data for an optimized crystal structure of ReSe.

Lattice parameters (Å, degrees): 5.753 2.990 9.234 90.00 90.72 90.00
Fractional positions:
Re 0.621 0.250 0.408
Se 0.631 0.250 0.765
Re 0.876 0.750 0.596
Se 0.133 0.750 0.818
Se 0.867 0.250 0.182
Se 0.369 0.750 0.235
Re 0.379 0.750 0.592
Re 0.124 0.250 0.404

Calculated values
SG   No. 11
Raw formation energy   -128 meV/atom
Total energy   -8.094 eV/atom



Record 2
## ReSe (PBE)

Data for an optimized crystal structure of ReSe.

Lattice parameters (Å, degrees): 10.789 10.789 3.694 90.00 90.00 90.00
Fractional positions:
Re 0.399 0.202 0.500
Se 0.700 0.931 0.000
Re 0.798 0.399 0.500
Re 0.112 0.471 0.000
Re 0.529 0.112 0.000
Se 0.300 0.069 0.000
Se 0.758 0.632 0.500
Re 0.601 0.798 0.500
Se 0.242 0.368 0.500
Se 0.368 0.758 0.500
Re 0.888 0.529 0.000
Re 0.471 0.888 0.000
Se 0.069 0.700 0.000
Se 0.931 0.300 0.000
Re 0.202 0.601 0.500
Se 0.632 0.242 0.500

Calculated values
SG   No. 83
Raw formation energy   349 meV/atom
Total energy   -7.617 eV/atom